Version P
# Al2MoPt meta-GGA SCAN single point on PBEsol structure
# - Volume: 117.3 Å³ per cell
# - DOS(E_F): 5.35 states/eV per cell
# - Total moment: 0.00 μB/f.u.
data_Al2MoPt
_space_group_name_H-M_alt 'I m m 2'
_space_group_IT_number 44
_space_group_name_Hall 'I 2 -2'
_cell_length_a 3.483
_cell_length_b 3.820
_cell_length_c 8.817
_cell_angle_alpha 90.00
_cell_angle_beta 90.00
_cell_angle_gamma 90.00
loop_
_atom_site_label
_atom_site_fract_x
_atom_site_fract_y
_atom_site_fract_z
_atom_site_occupancy
Al1 0.000 0.000 0.000 1
Al2 0.000 0.500 0.243 1
Mo1 0.000 0.500 0.752 1
Pt1 0.000 0.000 0.503 1

***

Version Q
# Al2MoPt meta-GGA SCAN single point on PBEsol structure
# - Volume: 57.6 Å³ per cell
# - DOS(E_F): 2.33 states/eV per cell
# - Total moment: 0.00 μB/f.u.
data_Al2MoPt
_space_group_name_H-M_alt 'P 4/m m m'
_space_group_IT_number 123
_space_group_name_Hall '-P 4 2'
_cell_length_a 4.182
_cell_length_b 4.182
_cell_length_c 3.297
_cell_angle_alpha 90.00
_cell_angle_beta 90.00
_cell_angle_gamma 90.00
loop_
_atom_site_label
_atom_site_fract_x
_atom_site_fract_y
_atom_site_fract_z
_atom_site_occupancy
Al1 0.000 0.500 0.000 1
Mo1 0.000 0.000 0.500 1
Pt1 0.500 0.500 0.500 1

***

In meV per atom, relative to the most stable structure: version P 140; version Q 0.

***

Version P
# Al2MoRh meta-GGA SCAN single point on PBEsol structure
# - Volume: 224.5 Å³ per cell
# - DOS(E_F): 17.42 states/eV per cell
# - Total moment: 1.82 μB/f.u.
data_Al2MoRh
_space_group_name_H-M_alt 'F m -3 m'
_space_group_IT_number 225
_space_group_name_Hall '-F 4 2 3'
_cell_length_a 6.078
_cell_length_b 6.078
_cell_length_c 6.078
_cell_angle_alpha 90.00
_cell_angle_beta 90.00
_cell_angle_gamma 90.00
loop_
_atom_site_label
_atom_site_fract_x
_atom_site_fract_y
_atom_site_fract_z
_atom_site_occupancy
Al1 0.250 0.250 0.250 1
Mo1 0.000 0.000 0.000 1
Rh1 0.000 0.000 0.500 1

***

Version Q
# Al2MoRh meta-GGA SCAN single point on PBEsol structure
# - Volume: 247.9 Å³ per cell
# - DOS(E_F): 12.02 states/eV per cell
# - Total moment: 0.00 μB/f.u.
data_Al2MoRh
_space_group_name_H-M_alt 'I -4 2 d'
_space_group_IT_number 122
_space_group_name_Hall 'I -4 2bw'
_cell_length_a 6.740
_cell_length_b 6.740
_cell_length_c 5.458
_cell_angle_alpha 90.00
_cell_angle_beta 90.00
_cell_angle_gamma 90.00
loop_
_atom_site_label
_atom_site_fract_x
_atom_site_fract_y
_atom_site_fract_z
_atom_site_occupancy
Al1 0.227 0.750 0.125 1
Mo1 0.000 0.000 0.500 1
Rh1 0.000 0.000 0.000 1

***

In meV per atom, relative to the most stable structure: version P 0; version Q 523.

***

Version P
# AlSbMo meta-GGA SCAN single point on PBEsol structure
# - Volume: 101.0 Å³ per cell
# - DOS(E_F): 0.37 states/eV per cell
# - Total moment: 0.00 μB/f.u.
data_AlSbMo
_space_group_name_H-M_alt 'I 4 m m'
_space_group_IT_number 107
_space_group_name_Hall 'I 4 -2'
_cell_length_a 3.432
_cell_length_b 3.432
_cell_length_c 8.574
_cell_angle_alpha 90.00
_cell_angle_beta 90.00
_cell_angle_gamma 90.00
loop_
_atom_site_label
_atom_site_fract_x
_atom_site_fract_y
_atom_site_fract_z
_atom_site_occupancy
Al1 0.000 0.000 0.000 1
Sb1 0.000 0.000 0.322 1
Mo1 0.000 0.000 0.658 1

***

Version Q
# AlSbMo meta-GGA SCAN single point on PBEsol structure
# - Volume: 54.5 Å³ per cell
# - DOS(E_F): 2.13 states/eV per cell
# - Total moment: 0.00 μB/f.u.
data_AlSbMo
_space_group_name_H-M_alt 'P 3 m 1'
_space_group_IT_number 156
_space_group_name_Hall 'P 3 -2"'
_cell_length_a 4.6976
_cell_length_b 4.6976
_cell_length_c 2.8524
_cell_angle_alpha 90.00
_cell_angle_beta 90.00
_cell_angle_gamma 120.00
loop_
_atom_site_label
_atom_site_fract_x
_atom_site_fract_y
_atom_site_fract_z
_atom_site_occupancy
Al1 0.0000 0.0000 0.0000 1
Sb1 0.6667 0.3333 0.4989 1
Mo1 0.3333 0.6667 0.5007 1

***

In meV per atom, relative to the most stable structure: version P 0; version Q 575.

***

Version P
# ScAlMo meta-GGA SCAN single point on PBEsol structure
# - Volume: 254.0 Å³ per cell
# - DOS(E_F): 12.02 states/eV per cell
# - Total moment: 3.29 μB/f.u.
data_ScAlMo
_space_group_name_H-M_alt 'F -4 3 m'
_space_group_IT_number 216
_space_group_name_Hall 'F -4 2 3'
_cell_length_a 6.333
_cell_length_b 6.333
_cell_length_c 6.333
_cell_angle_alpha 90.00
_cell_angle_beta 90.00
_cell_angle_gamma 90.00
loop_
_atom_site_label
_atom_site_fract_x
_atom_site_fract_y
_atom_site_fract_z
_atom_site_occupancy
Sc1 0.000 0.000 0.000 1
Al1 0.250 0.250 0.750 1
Mo1 0.250 0.250 0.250 1

***

Version Q
# ScAlMo meta-GGA SCAN single point on PBEsol structure
# - Volume: 52.4 Å³ per cell
# - DOS(E_F): 3.01 states/eV per cell
# - Total moment: 0.00 μB/f.u.
data_ScAlMo
_space_group_name_H-M_alt 'P 3 m 1'
_space_group_IT_number 156
_space_group_name_Hall 'P 3 -2"'
_cell_length_a 2.9468
_cell_length_b 2.9468
_cell_length_c 6.9652
_cell_angle_alpha 90.00
_cell_angle_beta 90.00
_cell_angle_gamma 120.00
loop_
_atom_site_label
_atom_site_fract_x
_atom_site_fract_y
_atom_site_fract_z
_atom_site_occupancy
Sc1 0.0000 0.0000 0.0000 1
Al1 0.3333 0.6667 0.6437 1
Mo1 0.6667 0.3333 0.3355 1

***

In meV per atom, relative to the most stable structure: version P 892; version Q 0.

***

Version P
# AlSiMo2 meta-GGA SCAN single point on PBEsol structure
# - Volume: 114.9 Å³ per cell
# - DOS(E_F): 4.30 states/eV per cell
# - Total moment: 0.00 μB/f.u.
data_AlSiMo2
_space_group_name_H-M_alt 'I -4 m 2'
_space_group_IT_number 119
_space_group_name_Hall 'I -4 -2'
_cell_length_a 3.822
_cell_length_b 3.822
_cell_length_c 7.862
_cell_angle_alpha 90.00
_cell_angle_beta 90.00
_cell_angle_gamma 90.00
loop_
_atom_site_label
_atom_site_fract_x
_atom_site_fract_y
_atom_site_fract_z
_atom_site_occupancy
Al1 0.000 0.000 0.000 1
Si1 0.000 0.500 0.750 1
Mo1 0.000 0.000 0.500 1
Mo2 0.000 0.500 0.250 1

***

Version Q
# AlSiMo2 meta-GGA SCAN single point on PBEsol structure
# - Volume: 57.2 Å³ per cell
# - DOS(E_F): 1.49 states/eV per cell
# - Total moment: 0.00 μB/f.u.
data_AlSiMo2
_space_group_name_H-M_alt 'P 4 m m'
_space_group_IT_number 99
_space_group_name_Hall 'P 4 -2'
_cell_length_a 3.178
_cell_length_b 3.178
_cell_length_c 5.663
_cell_angle_alpha 90.00
_cell_angle_beta 90.00
_cell_angle_gamma 90.00
loop_
_atom_site_label
_atom_site_fract_x
_atom_site_fract_y
_atom_site_fract_z
_atom_site_occupancy
Al1 0.000 0.000 0.000 1
Si1 0.500 0.500 0.751 1
Mo1 0.000 0.000 0.515 1
Mo2 0.500 0.500 0.251 1

***

Version R
# AlSiMo2 meta-GGA SCAN single point on PBEsol structure
# - Volume: 248.8 Å³ per cell
# - DOS(E_F): 10.48 states/eV per cell
# - Total moment: 0.00 μB/f.u.
data_AlSiMo2
_space_group_name_H-M_alt 'I -4 2 d'
_space_group_IT_number 122
_space_group_name_Hall 'I -4 2bw'
_cell_length_a 6.828
_cell_length_b 6.828
_cell_length_c 5.337
_cell_angle_alpha 90.00
_cell_angle_beta 90.00
_cell_angle_gamma 90.00
loop_
_atom_site_label
_atom_site_fract_x
_atom_site_fract_y
_atom_site_fract_z
_atom_site_occupancy
Al1 0.000 0.000 0.000 1
Si1 0.000 0.000 0.500 1
Mo1 0.223 0.750 0.625 1

***

In meV per atom, relative to the most stable structure: version P 206; version Q 0; version R 635.

***

Version P
# SrAl2Mo meta-GGA SCAN single point on PBEsol structure
# - Volume: 154.6 Å³ per cell
# - DOS(E_F): 4.58 states/eV per cell
# - Total moment: 0.00 μB/f.u.
data_SrAl2Mo
_space_group_name_H-M_alt 'I 4/m m m'
_space_group_IT_number 139
_space_group_name_Hall '-I 4 2'
_cell_length_a 4.379
_cell_length_b 4.379
_cell_length_c 8.062
_cell_angle_alpha 90.00
_cell_angle_beta 90.00
_cell_angle_gamma 90.00
loop_
_atom_site_label
_atom_site_fract_x
_atom_site_fract_y
_atom_site_fract_z
_atom_site_occupancy
Sr1 0.000 0.000 0.000 1
Al1 0.000 0.500 0.250 1
Mo1 0.000 0.000 0.500 1

***

Version Q
# SrAl2Mo meta-GGA SCAN single point on PBEsol structure
# - Volume: 160.7 Å³ per cell
# - DOS(E_F): 4.30 states/eV per cell
# - Total moment: 0.00 μB/f.u.
data_SrAl2Mo
_space_group_name_H-M_alt 'I -4 m 2'
_space_group_IT_number 119
_space_group_name_Hall 'I -4 -2'
_cell_length_a 4.166
_cell_length_b 4.166
_cell_length_c 9.255
_cell_angle_alpha 90.00
_cell_angle_beta 90.00
_cell_angle_gamma 90.00
loop_
_atom_site_label
_atom_site_fract_x
_atom_site_fract_y
_atom_site_fract_z
_atom_site_occupancy
Sr1 0.000 0.000 0.000 1
Al1 0.000 0.000 0.500 1
Al2 0.000 0.500 0.250 1
Mo1 0.000 0.500 0.750 1

***

Version R
# SrAl2Mo meta-GGA SCAN single point on PBEsol structure
# - Volume: 86.3 Å³ per cell
# - DOS(E_F): 4.59 states/eV per cell
# - Total moment: 0.00 μB/f.u.
data_SrAl2Mo
_space_group_name_H-M_alt 'P 4 m m'
_space_group_IT_number 99
_space_group_name_Hall 'P 4 -2'
_cell_length_a 3.406
_cell_length_b 3.406
_cell_length_c 7.439
_cell_angle_alpha 90.00
_cell_angle_beta 90.00
_cell_angle_gamma 90.00
loop_
_atom_site_label
_atom_site_fract_x
_atom_site_fract_y
_atom_site_fract_z
_atom_site_occupancy
Sr1 0.000 0.000 0.000 1
Al1 0.000 0.000 0.554 1
Al2 0.500 0.500 0.338 1
Mo1 0.500 0.500 0.686 1

***

In meV per atom, relative to the most stable structure: version P 96; version Q 305; version R 0.